La2HoErP4 (PBE-GGA, optimized geometry); V = 199 Å³ per cell; space-group type = P2/m; DFT formation energy = -1.58 eV per atom
1.0
4.130 0.000 0.000
0.000 7.147 0.125
0.000 -2.498 6.693
La Ho Er P
2 1 1 4
Cartesian
2.065 -1.249 3.346 La
0.000 2.325 3.409 La
2.065 3.574 0.063 Ho
0.000 0.000 0.000 Er
2.065 1.161 1.598 P
2.065 3.488 5.221 P
0.000 -0.092 5.155 P
0.000 4.742 1.663 P